Computed, not measured: a geometry-optimized Zr2Al3Ni structure at the PBE-GGA level of DFT.

a = 5.1435 Å, b = 5.1435 Å, c = 5.1435 Å
α = 62.04°, β = 62.04°, γ = 62.04°
Last column: nearest neighbours and their distance in Å.
Atoms (fractional coordinates):
Al (0.0000, 0.0000, 0.5000)  2 Ni 2.57, 4 Al 2.65
Zr (0.6257, 0.6257, 0.6257)  9 Al 3.00-3.07, 3 Ni 3.10, 4 Zr 3.12-3.22
Zr (0.3743, 0.3743, 0.3743)  9 Al 3.00-3.07, 3 Ni 3.10, 4 Zr 3.12-3.22
Al (0.0000, 0.5000, 0.0000)  2 Ni 2.57, 4 Al 2.65
Ni (0.0000, 0.0000, 0.0000)  6 Al 2.57
Al (0.5000, 0.0000, 0.0000)  2 Ni 2.57, 4 Al 2.65

Computed properties:
Calculated density   5317 kg/m3
Uncorrected energy   -6.267 eV per atom
V   100.6 Å³ per cell
Crystal system   trigonal
Space-group type   R-3m (166)
Total magnetic moment   0.00 μB per formula unit



Computed, not measured: a geometry-optimized ZrAl2Ni structure at the PBE-GGA level of DFT.

a = 8.4977 Å, b = 8.4977 Å, c = 8.4977 Å
α = 36.01°, β = 36.01°, γ = 36.01°
Last column: nearest neighbours and their distance in Å.
Atoms (fractional coordinates):
Al (0.4167, 0.4168, 0.9198)  3 Ni 2.46-2.52, 4 Al 2.61-2.64
Al (0.5833, 0.0803, 0.5833)  3 Ni 2.46-2.52, 4 Al 2.61-2.64
Al (0.5833, 0.5834, 0.0802)  3 Ni 2.46-2.52, 4 Al 2.61-2.64
Al (0.9198, 0.4168, 0.4167)  3 Ni 2.46-2.52, 4 Al 2.61-2.64
Zr (0.1429, 0.1430, 0.1429)  9 Al 2.98-3.00, 3 Ni 3.09, 3 Zr 3.24
Ni (0.3346, 0.3349, 0.3346)  6 Al 2.46-2.50
Al (0.0802, 0.5834, 0.5833)  3 Ni 2.46-2.52, 4 Al 2.61-2.64
Ni (0.5000, 0.5001, 0.5000)  6 Al 2.52
Zr (0.0000, 0.0001, 0.0000)  6 Ni 3.03, 12 Al 3.28
Al (0.4167, 0.9199, 0.4167)  3 Ni 2.46-2.52, 4 Al 2.61-2.64
Zr (0.8571, 0.8572, 0.8571)  9 Al 2.98-3.00, 3 Ni 3.09, 3 Zr 3.24
Ni (0.6653, 0.6653, 0.6653)  6 Al 2.46-2.50

Computed properties:
Calculated density   5354 kg/m3
Uncorrected energy   -6.050 eV per atom
V   189.7 Å³ per cell
Crystal system   trigonal
Space-group type   R-3m (166)
Total magnetic moment   0.00 μB per formula unit



Computed, not measured: a geometry-optimized Zr3Al2Ni6 structure at the PBE-GGA level of DFT.

a = 7.4542 Å, b = 7.4542 Å, c = 7.4542 Å
α = 109.47°, β = 109.47°, γ = 109.47°
Last column: nearest neighbours and their distance in Å.
Atoms (fractional coordinates):
Ni (0.3422, 0.0000, 0.6578)  2 Al 2.43, 6 Ni 2.49-2.72, 2 Zr 2.72
Ni (0.6578, 0.6578, 0.3156)  2 Al 2.43, 6 Ni 2.49-2.72, 2 Zr 2.72
Ni (0.0000, 0.3422, 0.6578)  2 Al 2.43, 6 Ni 2.49-2.72, 2 Zr 2.72
Al (0.5000, 0.5000, 0.5000)  6 Ni 2.43
Al (0.0000, 0.0000, 0.5000)  6 Ni 2.43
Al (0.5000, 0.0000, 0.0000)  6 Ni 2.43
Ni (0.3422, 0.6844, 0.3422)  2 Al 2.43, 6 Ni 2.49-2.72, 2 Zr 2.72
Ni (0.3422, 0.3422, 0.6844)  2 Al 2.43, 6 Ni 2.49-2.72, 2 Zr 2.72
Zr (0.2768, 0.2768, 0.0000)  8 Ni 2.72-3.00
Ni (0.6844, 0.3422, 0.3422)  2 Al 2.43, 6 Ni 2.49-2.72, 2 Zr 2.72
Ni (0.6578, 0.3156, 0.6578)  2 Al 2.43, 6 Ni 2.49-2.72, 2 Zr 2.72
Ni (0.3156, 0.6578, 0.6578)  2 Al 2.43, 6 Ni 2.49-2.72, 2 Zr 2.72
Ni (0.6578, 0.3422, 0.0000)  2 Al 2.43, 6 Ni 2.49-2.72, 2 Zr 2.72
Zr (0.0000, 0.7232, 0.7232)  8 Ni 2.72-3.00
Ni (0.0000, 0.6578, 0.3422)  2 Al 2.43, 6 Ni 2.49-2.72, 2 Zr 2.72
Ni (0.3422, 0.6578, 0.0000)  2 Al 2.43, 6 Ni 2.49-2.72, 2 Zr 2.72
Zr (0.7232, 0.0000, 0.7232)  8 Ni 2.72-3.00
Zr (0.2768, 0.0000, 0.2768)  8 Ni 2.72-3.00
Zr (0.0000, 0.2768, 0.2768)  8 Ni 2.72-3.00
Ni (0.6578, 0.0000, 0.3422)  2 Al 2.43, 6 Ni 2.49-2.72, 2 Zr 2.72
Al (0.0000, 0.5000, 0.0000)  6 Ni 2.43
Zr (0.7232, 0.7232, 0.0000)  8 Ni 2.72-3.00

Computed properties:
Calculated density   7081 kg/m3
Uncorrected energy   -6.731 eV per atom
V   318.8 Å³ per cell
Crystal system   cubic
Space-group type   Im-3m (229)
Total magnetic moment   0.00 μB per formula unit



Computed, not measured: a geometry-optimized Zr2AlNi structure at the PBE-GGA level of DFT.

a = 9.2422 Å, b = 9.2422 Å, c = 9.2422 Å
α = 19.21°, β = 19.21°, γ = 19.21°
Last column: nearest neighbours and their distance in Å.
Atoms (fractional coordinates):
Al (0.2500, 0.2500, 0.2500)  6 Zr 3.04, 6 Al 3.08
Zr (0.4927, 0.4927, 0.4927)  3 Ni 2.73, 3 Al 3.04
Ni (0.7500, 0.7500, 0.7500)  6 Zr 2.73
Zr (0.0073, 0.0073, 0.0073)  3 Ni 2.73, 3 Al 3.04

Computed properties:
Calculated density   5959 kg/m3
Uncorrected energy   -6.736 eV per atom
V   74.7 Å³ per cell
Crystal system   trigonal
Space-group type   R-3m (166)
Total magnetic moment   0.00 μB per formula unit



Computed, not measured: a geometry-optimized ZrAl2Ni structure at the PBE-GGA level of DFT.

a = 4.3130 Å, b = 4.3130 Å, c = 9.0984 Å
α = 90.00°, β = 90.00°, γ = 120.00°
Last column: nearest neighbours and their distance in Å.
Atoms (fractional coordinates):
Zr (0.6667, 0.3333, 0.2500)  3 Ni 2.49
Zr (0.3333, 0.6667, 0.7500)  3 Ni 2.49
Al (0.6667, 0.3333, 0.5795)  4 Al 2.88-3.10, 3 Ni 2.93, 4 Zr 2.93-3.00
Ni (0.0000, 0.0000, 0.2500)  3 Zr 2.49
Al (0.3333, 0.6667, 0.4205)  4 Al 2.88-3.10, 3 Ni 2.93, 4 Zr 2.93-3.00
Al (0.3333, 0.6667, 0.0795)  4 Al 2.88-3.10, 3 Ni 2.93, 4 Zr 2.93-3.00
Ni (0.0000, 0.0000, 0.7500)  3 Zr 2.49
Al (0.6667, 0.3333, 0.9205)  4 Al 2.88-3.10, 3 Ni 2.93, 4 Zr 2.93-3.00

Computed properties:
Calculated density   4619 kg/m3
Uncorrected energy   -5.517 eV per atom
V   146.6 Å³ per cell
Crystal system   hexagonal
Space-group type   P6_3/mmc (194)
Total magnetic moment   0.00 μB per formula unit



Computed, not measured: a geometry-optimized ZrAl8Ni2 structure at the PBE-GGA level of DFT.

a = 3.8557 Å, b = 3.8557 Å, c = 11.9985 Å
α = 90.00°, β = 90.00°, γ = 90.00°
Last column: nearest neighbours and their distance in Å.
Atoms (fractional coordinates):
Al (0.5000, 0.0000, 0.8190)  6 Al 2.71-2.73, 2 Ni 2.80, 2 Zr 2.90
Al (0.0000, 0.5000, 0.8190)  6 Al 2.71-2.73, 2 Ni 2.80, 2 Zr 2.90
Al (0.0000, 0.5000, 0.1810)  6 Al 2.71-2.73, 2 Ni 2.80, 2 Zr 2.90
Ni (0.0000, 0.0000, 0.6493)  12 Al 2.63-2.80
Al (0.5000, 0.5000, 0.3403)  8 Al 2.71-2.72, 4 Ni 2.73
Al (0.5000, 0.0000, 0.1810)  6 Al 2.71-2.73, 2 Ni 2.80, 2 Zr 2.90
Al (0.5000, 0.5000, 0.6597)  8 Al 2.71-2.72, 4 Ni 2.73
Zr (0.0000, 0.0000, 0.0000)  8 Al 2.90
Ni (0.0000, 0.0000, 0.3507)  12 Al 2.63-2.80
Al (0.0000, 0.5000, 0.5000)  4 Ni 2.63, 8 Al 2.72-2.73
Al (0.5000, 0.0000, 0.5000)  4 Ni 2.63, 8 Al 2.72-2.73

Computed properties:
Calculated density   3951 kg/m3
Uncorrected energy   -4.725 eV per atom
V   178.4 Å³ per cell
Crystal system   tetragonal
Space-group type   P4/mmm (123)
Total magnetic moment   0.00 μB per formula unit



Computed, not measured: a geometry-optimized Zr5AlNi structure at the PBE-GGA level of DFT.

a = 4.3410 Å, b = 4.3410 Å, c = 7.8337 Å
α = 90.00°, β = 90.00°, γ = 90.00°
Last column: nearest neighbours and their distance in Å.
Atoms (fractional coordinates):
Zr (0.5000, 0.0000, 0.2872)  2 Ni 2.74
Ni (0.0000, 0.0000, 0.5000)  8 Zr 2.74
Al (0.0000, 0.0000, 0.0000)  12 Zr 3.07-3.13
Zr (0.0000, 0.5000, 0.2872)  2 Ni 2.74
Zr (0.5000, 0.0000, 0.7128)  2 Ni 2.74
Zr (0.5000, 0.5000, 0.0000)  4 Al 3.07, 8 Zr 3.13
Zr (0.0000, 0.5000, 0.7128)  2 Ni 2.74

Computed properties:
Calculated density   6094 kg/m3
Uncorrected energy   -7.604 eV per atom
V   147.6 Å³ per cell
Crystal system   tetragonal
Space-group type   P4/mmm (123)
Total magnetic moment   0.00 μB per formula unit



Computed, not measured: a geometry-optimized ZrAlNi2 structure at the PBE-GGA level of DFT.

a = 3.1233 Å, b = 4.3229 Å, c = 4.3229 Å
α = 90.00°, β = 90.00°, γ = 90.00°
Last column: nearest neighbours and their distance in Å.
Atoms (fractional coordinates):
Ni (0.5000, 0.5000, 0.0000)  4 Al 2.67, 4 Zr 2.67
Al (0.0000, 0.5000, 0.5000)  8 Ni 2.67
Zr (0.0000, 0.0000, 0.0000)  8 Ni 2.67
Ni (0.5000, 0.0000, 0.5000)  4 Al 2.67, 4 Zr 2.67

Computed properties:
Calculated density   6703 kg/m3
Uncorrected energy   -6.402 eV per atom
V   58.4 Å³ per cell
Crystal system   tetragonal
Space-group type   P4/mmm (123)
Total magnetic moment   0.00 μB per formula unit



Computed, not measured: a geometry-optimized ZrAl2Ni structure at the PBE-GGA level of DFT.

a = 5.2676 Å, b = 6.5437 Å, c = 7.4276 Å
α = 90.00°, β = 90.00°, γ = 90.00°
Last column: nearest neighbours and their distance in Å.
Atoms (fractional coordinates):
Al (0.6058, 0.0511, 0.3182)  3 Ni 2.42-2.50, 1 Al 2.60
Ni (0.1331, 0.7500, 0.9020)  6 Al 2.42-2.50, 1 Zr 2.68
Al (0.1058, 0.9489, 0.1818)  3 Ni 2.42-2.50, 1 Al 2.60
Ni (0.3669, 0.7500, 0.4020)  6 Al 2.42-2.50, 1 Zr 2.68
Ni (0.6331, 0.2500, 0.5980)  6 Al 2.42-2.50, 1 Zr 2.68
Al (0.1058, 0.5511, 0.1818)  3 Ni 2.42-2.50, 1 Al 2.60
Al (0.6058, 0.4489, 0.3182)  3 Ni 2.42-2.50, 1 Al 2.60
Zr (0.3909, 0.2500, 0.9709)  2 Ni 2.68-2.92, 4 Al 2.91-2.93
Zr (0.8909, 0.7500, 0.5291)  2 Ni 2.68-2.92, 4 Al 2.91-2.93
Ni (0.8669, 0.2500, 0.0980)  6 Al 2.42-2.50, 1 Zr 2.68
Al (0.3942, 0.5511, 0.6818)  3 Ni 2.42-2.50, 1 Al 2.60
Zr (0.1091, 0.2500, 0.4709)  2 Ni 2.68-2.92, 4 Al 2.91-2.93
Zr (0.6091, 0.7500, 0.0291)  2 Ni 2.68-2.92, 4 Al 2.91-2.93
Al (0.8942, 0.4489, 0.8182)  3 Ni 2.42-2.50, 1 Al 2.60
Al (0.3942, 0.9489, 0.6818)  3 Ni 2.42-2.50, 1 Al 2.60
Al (0.8942, 0.0511, 0.8182)  3 Ni 2.42-2.50, 1 Al 2.60

Computed properties:
Calculated density   5289 kg/m3
Uncorrected energy   -6.054 eV per atom
V   256.0 Å³ per cell
Crystal system   orthorhombic
Space-group type   Pnma (62)
Total magnetic moment   0.00 μB per formula unit



Computed, not measured: a geometry-optimized Zr2AlNi structure at the PBE-GGA level of DFT.

a = 5.6674 Å, b = 5.6674 Å, c = 8.5407 Å
α = 90.00°, β = 90.00°, γ = 147.84°
Last column: nearest neighbours and their distance in Å.
Atoms (fractional coordinates):
Ni (0.2516, 0.7484, 0.7500)  2 Al 2.58, 6 Zr 2.63-2.89
Zr (0.8678, 0.1322, 0.5516)  3 Ni 2.63-2.89
Zr (0.8678, 0.1322, 0.9484)  3 Ni 2.63-2.89
Zr (0.1322, 0.8678, 0.4484)  3 Ni 2.63-2.89
Ni (0.7484, 0.2516, 0.2500)  2 Al 2.58, 6 Zr 2.63-2.89
Zr (0.1322, 0.8678, 0.0516)  3 Ni 2.63-2.89
Al (0.4360, 0.5640, 0.2500)  2 Ni 2.58
Al (0.5640, 0.4360, 0.7500)  2 Ni 2.58

Computed properties:
Calculated density   6099 kg/m3
Uncorrected energy   -6.980 eV per atom
V   146.0 Å³ per cell
Crystal system   orthorhombic
Space-group type   Cmcm (63)
Total magnetic moment   0.00 μB per formula unit



Computed, not measured: a geometry-optimized ZrAl6Ni structure at the PBE-GGA level of DFT.

a = 3.6530 Å, b = 3.6530 Å, c = 11.1324 Å
α = 90.00°, β = 90.00°, γ = 90.00°
Last column: nearest neighbours and their distance in Å.
Atoms (fractional coordinates):
Al (0.5000, 0.5000, 0.8875)  5 Al 2.50-2.76
Al (0.0000, 0.5000, 0.2983)  6 Al 2.58-2.76
Al (0.0000, 0.5000, 0.7017)  6 Al 2.58-2.76
Al (0.5000, 0.5000, 0.1125)  5 Al 2.50-2.76
Zr (0.0000, 0.0000, 0.5000)  8 Al 2.89
Al (0.5000, 0.0000, 0.2983)  6 Al 2.58-2.76
Ni (0.0000, 0.0000, 0.0000)  8 Al 2.87
Al (0.5000, 0.0000, 0.7017)  6 Al 2.58-2.76

Computed properties:
Calculated density   3485 kg/m3
Uncorrected energy   -4.433 eV per atom
V   148.6 Å³ per cell
Crystal system   tetragonal
Space-group type   P4/mmm (123)
Total magnetic moment   0.00 μB per formula unit



DFT formation energy, respectively: -0.58, -0.60, -0.57, -0.08, -0.06, -0.17, -0.14, -0.44, -0.60, -0.33, 0.17 eV per atom.